## Rb2NaAl3F12 (PBE)

Data for a geometry-optimized Rb2NaAl3F12 structure.

The structure in POSCAR format:
```
Rb2NaAl3F12
1.0
3.5581 2.0543 5.9742
-3.5581 2.0543 5.9742
0.0000 -4.1085 5.9742
Rb Na Al F
2 1 3 12
Cartesian
0.0000 0.0000 2.2531 Rb
0.0000 0.0000 15.6695 Rb
0.0000 0.0000 8.9613 Na
-1.7790 -1.0271 5.9742 Al
-1.7790 1.0271 11.9484 Al
0.0000 2.0543 5.9742 Al
-1.7314 -0.9996 7.7508 F
0.0000 -1.5475 5.9337 F
-1.3402 0.7738 5.9337 F
0.0000 -1.9993 10.1718 F
-1.7314 0.9996 10.1718 F
-1.3402 -0.7738 11.9888 F
1.3402 0.7738 5.9337 F
1.7314 -0.9996 7.7508 F
0.0000 1.9993 7.7508 F
1.3402 -0.7738 11.9888 F
0.0000 1.5475 11.9888 F
1.7314 0.9996 10.1718 F
```

Total magnetic moment   0.0 μB per formula unit
Space group   R-3m (166)
Relative energy among the computed polymorphs   0.003 eV/atom
Total energy   -97.52 eV/cell
ΔE_f (raw)   -3366 meV/atom

***

## Ga2HgPbI (PBE)

Data for a geometry-optimized Ga2HgPbI structure.

The structure in POSCAR format:
```
Ga2HgPbI
1.0
5.1399 0.0000 0.0000
0.0000 5.1399 0.0000
0.0000 0.0000 6.5006
Ga Hg Pb I
2 1 1 1
Cartesian
0.0000 2.5699 0.0000 Ga
2.5699 0.0000 0.0000 Ga
0.0000 0.0000 0.0000 Hg
2.5699 2.5699 3.2503 Pb
0.0000 0.0000 3.2503 I
```

Total magnetic moment   0.0 μB per formula unit
Space group   P4/mmm (123)
Total energy   -10.06 eV/cell
ΔE_f (raw)   310 meV/atom

***

## Sr2HfNpN4 (PBE)

Data for a geometry-optimized Sr2HfNpN4 structure.

The structure in POSCAR format:
```
Sr2HfNpN4
1.0
5.9345 0.0000 0.0000
0.0000 3.4607 0.0000
-1.9311 0.0000 5.9496
Sr Hf Np N
2 1 1 4
Cartesian
0.0000 0.0000 0.0000 Sr
2.9672 1.7303 0.0000 Sr
-0.9655 1.7303 2.9748 Hf
2.0017 0.0000 2.9748 Np
0.0330 0.0000 4.1304 N
0.9557 1.7303 1.8078 N
3.0477 1.7303 4.1418 N
3.9704 0.0000 1.8192 N
```

Total magnetic moment   2.8 μB per formula unit
Space group   P2/m (10)
Total energy   -69.17 eV/cell
ΔE_f (raw)   -1201 meV/atom